## SbOsRu (PBE-GGA)

Data for crystalline SbOsRu at its relaxed geometry.

a = 7.529 Å, b = 7.229 Å, c = 2.936 Å
α = 84.33°, β = 72.84°, γ = 22.83°
Positions (direct):
Sb 0.000 0.000 0.000
Os 0.678 0.678 0.322
Ru 0.326 0.326 0.674

Computed properties:
As for the density of states at the Fermi level: 4.5 states/eV/cell. As for the total energy: -7.330 eV/atom. Its uncorrected formation energy is 84.8 kJ per mole of atoms. Its space-group type is Fmm2, No. 42.